No. 1
{"formula": "NdYTh", "functional": "PBE-GGA", "state": "optimized geometry", "relative_energy_mev_per_atom": 29, "dos_ef_per_ev_atom": 1.497, "lattice_angstrom": [[-5.036, -5.164, 0.688], [4.213, -4.000, 0.808], [0.945, 2.854, 9.203]], "species": ["Nd", "Nd", "Nd", "Nd", "Y", "Y", "Y", "Y", "Th", "Th", "Th", "Th"], "fractional_positions": [[0.859, 0.250, 0.436], [0.359, 0.250, 0.436], [0.641, 0.750, 0.564], [0.141, 0.750, 0.564], [0.804, 0.750, 0.212], [0.304, 0.750, 0.212], [0.696, 0.250, 0.788], [0.196, 0.250, 0.788], [0.973, 0.750, 0.888], [0.473, 0.750, 0.888], [0.527, 0.250, 0.112], [0.027, 0.250, 0.112]]}



No. 2
{"formula": "CsCd2F", "functional": "PBE-GGA", "state": "optimized geometry", "relative_energy_mev_per_atom": 0, "raw_formation_energy_ev_per_atom": -0.867, "dos_ef_per_ev_atom": 0.007, "lattice_angstrom": [[-3.967, -7.518, -5.529], [8.359, -0.191, -5.737], [3.349, -5.745, -3.889]], "species": ["Cs", "Cs", "F", "F", "Cd", "Cd", "Cd", "Cd"], "fractional_positions": [[0.000, 0.000, 0.000], [0.750, 0.250, 0.500], [0.500, 0.500, 0.000], [0.250, 0.750, 0.500], [0.556, 0.125, 0.250], [0.194, 0.625, 0.250], [0.375, 0.444, 0.750], [0.875, 0.806, 0.750]]}



No. 3
{"formula": "TlTcW3", "functional": "PBE-GGA", "state": "optimized geometry", "relative_energy_mev_per_atom": 0, "dos_ef_per_ev_atom": 1.191, "lattice_angstrom": [[-3.519, 3.193, -0.214], [-0.850, -1.239, -4.513], [-3.085, -3.301, 1.487]], "species": ["Tl", "Tc", "W", "W", "W"], "fractional_positions": [[0.500, 0.500, 0.500], [0.000, 0.000, 0.000], [0.000, 0.500, 0.000], [0.000, 0.000, 0.500], [0.500, 0.000, 0.000]]}